VASP calculation (PBE) on an optimized crystal structure of Na2DyGaBr6.

For the total energy, the calculation gives -105.334 eV per cell. The value obtained for the total moment is 0.00 μB/f.u. Its density of states at the Fermi level is 0.0 states/eV per cell.

The structure belongs to space group R3 (No. 146, hexagonal axes); the cell edges are 7.4948, 7.4948 and 20.4617 Å and the angles 90.00°, 90.00° and 120.00°. The distinct sites, in fractional coordinates, are Na at (0.0000, 0.0000, 0.0000), Na at (0.0000, 0.0000, 0.4882), Dy at (0.0000, 0.0000, 0.6824), Ga at (0.0000, 0.0000, 0.1947), Br at (0.0069, 0.3597, 0.4218) and Br at (0.0124, 0.7117, 0.5953).